The following is a DFT calculation (PBE-GGA) of a relaxed structure of CeY2Pu.

```
CeY2Pu
1.0
5.209 0.000 0.000
0.000 4.810 0.000
0.000 0.000 4.810
Pu Ce Y
1 1 2
Direct
0.500 0.500 0.500
0.500 0.000 0.000
0.000 0.500 0.000
0.000 0.000 0.500
```

Computed properties:
For the formation energy from the elements, the calculation gives 0.15 eV per atom. Its mass density is 7.742 Mg/m³. As for the symmetry: P4/mmm. For the total energy, the calculation gives -32.58 eV/cell. The relative energy among the computed polymorphs is 0.007 eV/atom.